An optimized crystal structure of Sc5Co24. Source: Alexandria via LeMat-Bulk, functional GGA-PBEsol.

```
data_Sc5Co24
_chemical_formula_sum 'Sc10 Co48'
_symmetry_space_group_name_H-M 'I -4 3 m'
_symmetry_Int_Tables_number 217
_symmetry_space_group_name_Hall 'I -4 2 3'
_cell_length_a 8.798
_cell_length_b 8.798
_cell_length_c 8.798
_cell_angle_alpha 90.00
_cell_angle_beta 90.00
_cell_angle_gamma 90.00
loop_
_atom_site_label
_atom_site_fract_x
_atom_site_fract_y
_atom_site_fract_z
_atom_site_occupancy
Sc1 0.000 0.000 0.000 1
Sc2 0.189 0.189 0.189 1
Co1 0.032 0.360 0.640 1
Co2 0.092 0.092 0.715 1
```

Results
DOS at the Fermi energy, states/eV per atom: 1.0413
Formation energy, eV/atom: -0.1154
Total magnetization, μB per formula unit: 32.7

=====

An optimized crystal structure of CuWO3F2. Source: Alexandria via LeMat-Bulk, functional GGA-PBEsol.

```
data_CuWO3F2
_chemical_formula_sum 'Cu2 W2 O6 F4'
_symmetry_space_group_name_H-M 'P 1 21/m 1'
_symmetry_Int_Tables_number 11
_cell_length_a 3.710
_cell_length_b 9.616
_cell_length_c 5.201
_cell_angle_alpha 90.00
_cell_angle_beta 105.96
_cell_angle_gamma 90.00
loop_
_symmetry_equiv_pos_as_xyz
'x,y,z'
'-x,-y,-z'
'-x,y+1/2,-z'
'x,-y+1/2,z'
loop_
_atom_site_label
_atom_site_fract_x
_atom_site_fract_y
_atom_site_fract_z
_atom_site_occupancy
Cu1 0.000 0.000 0.000 1
W1 0.209 0.250 0.530 1
O1 0.120 0.108 0.305 1
O2 0.262 0.750 0.391 1
F1 0.339 0.111 0.855 1
```

Results
Raw formation energy, meV per atom: -1871
Total magnetization, μB per formula unit: 1.0

=====

An optimized crystal structure of InGeI2O. Source: Alexandria via LeMat-Bulk, functional GGA-PBEsol.

```
data_InGeI2O
_chemical_formula_sum 'In1 Ge1 I2 O1'
_symmetry_space_group_name_H-M 'P 4/m m m'
_symmetry_Int_Tables_number 123
_symmetry_space_group_name_Hall '-P 4 2'
_cell_length_a 5.925
_cell_length_b 5.925
_cell_length_c 3.755
_cell_angle_alpha 90.00
_cell_angle_beta 90.00
_cell_angle_gamma 90.00
loop_
_atom_site_label
_atom_site_fract_x
_atom_site_fract_y
_atom_site_fract_z
_atom_site_occupancy
In1 0.000 0.000 0.000 1
Ge1 0.500 0.500 0.500 1
I1 0.000 0.500 0.500 1
O1 0.500 0.500 0.000 1
```

Results
DOS at the Fermi energy, states/eV per atom: 0.1906
Raw formation energy, meV per atom: -436
Total magnetization, μB per formula unit: 0.0

=====

An optimized crystal structure of CaOsSe2. Source: Alexandria via LeMat-Bulk, functional GGA-PBEsol.

```
data_CaOsSe2
_chemical_formula_sum 'Ca1 Os1 Se2'
_symmetry_space_group_name_H-M 'P 4/m m m'
_symmetry_Int_Tables_number 123
_symmetry_space_group_name_Hall '-P 4 2'
_cell_length_a 4.681
_cell_length_b 4.681
_cell_length_c 3.183
_cell_angle_alpha 90.00
_cell_angle_beta 90.00
_cell_angle_gamma 90.00
loop_
_atom_site_label
_atom_site_fract_x
_atom_site_fract_y
_atom_site_fract_z
_atom_site_occupancy
Ca1 0.000 0.000 0.000 1
Os1 0.500 0.500 0.000 1
Se1 0.000 0.500 0.500 1
```

Results
DOS at the Fermi energy, states/eV per atom: 0.7682
Relative energy among the computed polymorphs, meV per atom: 425
Raw formation energy, meV per atom: -257
Total magnetization, μB per formula unit: 0.0

=====

An optimized crystal structure of LaAsRu2. Source: Alexandria via LeMat-Bulk, functional GGA-PBEsol.

```
data_LaAsRu2
_chemical_formula_sum 'La4 As4 Ru8'
_symmetry_space_group_name_H-M 'F -4 3 m'
_symmetry_Int_Tables_number 216
_symmetry_space_group_name_Hall 'F -4 2 3'
_cell_length_a 6.599
_cell_length_b 6.599
_cell_length_c 6.599
_cell_angle_alpha 90.00
_cell_angle_beta 90.00
_cell_angle_gamma 90.00
loop_
_atom_site_label
_atom_site_fract_x
_atom_site_fract_y
_atom_site_fract_z
_atom_site_occupancy
La1 0.000 0.000 0.000 1
As1 0.250 0.250 0.250 1
Ru1 0.000 0.000 0.500 1
Ru2 0.250 0.250 0.750 1
```

Results
DOS at the Fermi energy, states/eV per atom: 1.6469
Formation energy, eV/atom: 0.2830
Total magnetization, μB per formula unit: 1.1

=====

An optimized crystal structure of GaNiC3. Source: Alexandria via LeMat-Bulk, functional GGA-PBEsol.

```
data_GaNiC3
_chemical_formula_sum 'Ga1 Ni1 C3'
_symmetry_space_group_name_H-M 'P m -3 m'
_symmetry_Int_Tables_number 221
_symmetry_space_group_name_Hall '-P 4 2 3'
_cell_length_a 3.873
_cell_length_b 3.873
_cell_length_c 3.873
_cell_angle_alpha 90.00
_cell_angle_beta 90.00
_cell_angle_gamma 90.00
loop_
_atom_site_label
_atom_site_fract_x
_atom_site_fract_y
_atom_site_fract_z
_atom_site_occupancy
Ga1 0.000 0.000 0.000 1
Ni1 0.500 0.500 0.500 1
C1 0.000 0.000 0.500 1
```

Results
DOS at the Fermi energy, states/eV per atom: 0.5962
Formation energy, eV/atom: 2.9000
Total magnetization, μB per formula unit: 0.0

=====

An optimized crystal structure of TcRuSe. Source: Alexandria via LeMat-Bulk, functional GGA-PBEsol.

```
data_TcRuSe
_chemical_formula_sum 'Tc1 Ru1 Se1'
_symmetry_space_group_name_H-M 'P 3 m 1'
_symmetry_Int_Tables_number 156
_cell_length_a 4.1274
_cell_length_b 4.1274
_cell_length_c 2.9113
_cell_angle_alpha 90.00
_cell_angle_beta 90.00
_cell_angle_gamma 120.00
loop_
_symmetry_equiv_pos_as_xyz
'x,y,z'
'-y,x-y,z'
'-x+y,-x,z'
'-y,-x,z'
'-x+y,y,z'
'x,x-y,z'
loop_
_atom_site_label
_atom_site_fract_x
_atom_site_fract_y
_atom_site_fract_z
_atom_site_occupancy
Tc1 0.0000 0.0000 0.0000 1
Ru1 0.3333 0.6667 0.4987 1
Se1 0.6667 0.3333 0.7722 1
```

Results
DOS at the Fermi energy, states/eV per atom: 1.0198
Relative energy among the computed polymorphs, meV per atom: 94
Raw formation energy, meV per atom: 211
Total magnetization, μB per formula unit: 0.0

=====

An optimized crystal structure of H2AuCl. Source: Alexandria via LeMat-Bulk, functional GGA-PBEsol.

```
data_H2AuCl
_chemical_formula_sum 'H8 Au4 Cl4'
_symmetry_space_group_name_H-M 'F m -3 m'
_symmetry_Int_Tables_number 225
_symmetry_space_group_name_Hall '-F 4 2 3'
_cell_length_a 5.600
_cell_length_b 5.600
_cell_length_c 5.600
_cell_angle_alpha 90.00
_cell_angle_beta 90.00
_cell_angle_gamma 90.00
loop_
_atom_site_label
_atom_site_fract_x
_atom_site_fract_y
_atom_site_fract_z
_atom_site_occupancy
H1 0.250 0.250 0.250 1
Au1 0.000 0.000 0.000 1
Cl1 0.000 0.000 0.500 1
```

Results
Raw total energy, eV/cell: -32.76
DOS at the Fermi energy, states/eV per atom: 0.3756
Total magnetization, μB per formula unit: 0.0

=====

An optimized crystal structure of MnTlW. Source: Alexandria via LeMat-Bulk, functional GGA-PBEsol.

```
data_MnTlW
_chemical_formula_sum 'Mn4 Tl4 W4'
_symmetry_space_group_name_H-M 'F -4 3 m'
_symmetry_Int_Tables_number 216
_symmetry_space_group_name_Hall 'F -4 2 3'
_cell_length_a 6.209
_cell_length_b 6.209
_cell_length_c 6.209
_cell_angle_alpha 90.00
_cell_angle_beta 90.00
_cell_angle_gamma 90.00
loop_
_atom_site_label
_atom_site_fract_x
_atom_site_fract_y
_atom_site_fract_z
_atom_site_occupancy
Mn1 0.000 0.000 0.000 1
Tl1 0.000 0.000 0.500 1
W1 0.250 0.250 0.250 1
```

Results
DOS at the Fermi energy, states/eV per atom: 0.6697
Formation energy, eV/atom: 1.3708
Relative energy among the computed polymorphs, meV per atom: 681
Total magnetization, μB per formula unit: 1.9

=====

An optimized crystal structure of TaCdRu2. Source: Alexandria via LeMat-Bulk, functional GGA-PBEsol.

```
data_TaCdRu2
_chemical_formula_sum 'Ta2 Cd2 Ru4'
_symmetry_space_group_name_H-M 'C 1 m 1'
_symmetry_Int_Tables_number 8
_cell_length_a 9.880
_cell_length_b 2.957
_cell_length_c 4.596
_cell_angle_alpha 90.00
_cell_angle_beta 111.89
_cell_angle_gamma 90.00
loop_
_symmetry_equiv_pos_as_xyz
'x,y,z'
'x,-y,z'
'x+1/2,y+1/2,z'
'x+1/2,-y+1/2,z'
loop_
_atom_site_label
_atom_site_fract_x
_atom_site_fract_y
_atom_site_fract_z
_atom_site_occupancy
Ta1 0.000 0.000 0.000 1
Cd1 0.230 0.000 0.621 1
Ru1 0.249 0.500 0.130 1
Ru2 0.476 0.000 0.480 1
```

Results
DOS at the Fermi energy, states/eV per atom: 0.6988
Formation energy, eV/atom: 0.1130
Total magnetization, μB per formula unit: 0.0

=====

An optimized crystal structure of K3ReSn. Source: Alexandria via LeMat-Bulk, functional GGA-PBEsol.

```
data_K3ReSn
_chemical_formula_sum 'K3 Re1 Sn1'
_symmetry_space_group_name_H-M 'P m -3 m'
_symmetry_Int_Tables_number 221
_symmetry_space_group_name_Hall '-P 4 2 3'
_cell_length_a 6.139
_cell_length_b 6.139
_cell_length_c 6.139
_cell_angle_alpha 90.00
_cell_angle_beta 90.00
_cell_angle_gamma 90.00
loop_
_atom_site_label
_atom_site_fract_x
_atom_site_fract_y
_atom_site_fract_z
_atom_site_occupancy
K1 0.000 0.000 0.500 1
Re1 0.000 0.000 0.000 1
Sn1 0.500 0.500 0.500 1
```

Results
DOS at the Fermi energy, states/eV per atom: 1.3592
Formation energy, eV/atom: 1.6377
Total magnetization, μB per formula unit: 2.9

=====

An optimized crystal structure of CaGa2O4. Source: Alexandria via LeMat-Bulk, functional GGA-PBEsol.

```
data_CaGa2O4
_chemical_formula_sum 'Ca4 Ga8 O16'
_symmetry_space_group_name_H-M 'P n m a'
_symmetry_Int_Tables_number 62
_cell_length_a 9.108
_cell_length_b 2.994
_cell_length_c 10.567
_cell_angle_alpha 90.00
_cell_angle_beta 90.00
_cell_angle_gamma 90.00
loop_
_symmetry_equiv_pos_as_xyz
'x,y,z'
'-x,-y,-z'
'-x+1/2,-y,z+1/2'
'x+1/2,y,-z+1/2'
'x+1/2,-y+1/2,-z+1/2'
'-x+1/2,y+1/2,z+1/2'
'-x,y+1/2,-z'
'x,-y+1/2,z'
loop_
_atom_site_label
_atom_site_fract_x
_atom_site_fract_y
_atom_site_fract_z
_atom_site_occupancy
Ca1 0.242 0.250 0.155 1
Ga1 0.065 0.250 0.388 1
Ga2 0.082 0.250 0.895 1
O1 0.027 0.750 0.783 1
O2 0.083 0.250 0.572 1
O3 0.118 0.750 0.022 1
O4 0.204 0.750 0.338 1
```

Results
DOS at the Fermi energy, states/eV per atom: 0.0000
Relative energy among the computed polymorphs, meV per atom: 0
Raw formation energy, meV per atom: -2270
Total magnetization, μB per formula unit: 0.0

=====

An optimized crystal structure of Si2NiRh. Source: Alexandria via LeMat-Bulk, functional GGA-PBEsol.

```
data_Si2NiRh
_chemical_formula_sum 'Si2 Ni1 Rh1'
_symmetry_space_group_name_H-M 'P 4/m m m'
_symmetry_Int_Tables_number 123
_symmetry_space_group_name_Hall '-P 4 2'
_cell_length_a 4.109
_cell_length_b 4.109
_cell_length_c 2.846
_cell_angle_alpha 90.00
_cell_angle_beta 90.00
_cell_angle_gamma 90.00
loop_
_atom_site_label
_atom_site_fract_x
_atom_site_fract_y
_atom_site_fract_z
_atom_site_occupancy
Si1 0.000 0.500 0.000 1
Ni1 0.000 0.000 0.500 1
Rh1 0.500 0.500 0.500 1
```

Results
DOS at the Fermi energy, states/eV per atom: 0.4068
Raw formation energy, meV per atom: -489
Total magnetization, μB per formula unit: 0.0

=====

An optimized crystal structure of FeRhC2. Source: Alexandria via LeMat-Bulk, functional GGA-PBEsol.

```
data_FeRhC2
_chemical_formula_sum 'Fe4 Rh4 C8'
_symmetry_space_group_name_H-M 'F m -3 m'
_symmetry_Int_Tables_number 225
_symmetry_space_group_name_Hall '-F 4 2 3'
_cell_length_a 5.119
_cell_length_b 5.119
_cell_length_c 5.119
_cell_angle_alpha 90.00
_cell_angle_beta 90.00
_cell_angle_gamma 90.00
loop_
_atom_site_label
_atom_site_fract_x
_atom_site_fract_y
_atom_site_fract_z
_atom_site_occupancy
Fe1 0.000 0.000 0.000 1
Rh1 0.000 0.000 0.500 1
C1 0.250 0.250 0.250 1
```

Results
DOS at the Fermi energy, states/eV per atom: 0.6138
Formation energy, eV/atom: 1.1227
Total magnetization, μB per formula unit: 0.0